# PBE-GGA Ta2SiIBr, optimized geometry
# Final energy: -4.68 eV/atom
# Uncorrected formation energy: 1786 meV per atom
# Space group: P4/mmm, No. 123
data_Ta2SiIBr
_space_group_name_H-M_alt 'P 1'
_space_group_IT_number 1
_space_group_name_Hall 'P 1'
_cell_length_a 4.860
_cell_length_b 4.860
_cell_length_c 4.980
_cell_angle_alpha 90.00
_cell_angle_beta 90.00
_cell_angle_gamma 90.00
loop_
_atom_site_label
_atom_site_fract_x
_atom_site_fract_y
_atom_site_fract_z
_atom_site_occupancy
Ta1 0.000 0.500 0.000 1
Ta2 0.500 0.000 0.000 1
Si1 0.000 0.000 0.500 1
I1 0.500 0.500 0.500 1
Br1 0.000 0.000 0.000 1